VASP calculation (PBE+U) on an optimized crystal structure of ScTl2MoO6. Values from VASP.

V = 207.1 Å³ per cell
M_tot = 0.0000 μB/atom
SG = P-3m1, No. 164
uncorrected energy = -6.3213 eV per atom

```
&SYSTEM
  ibrav = 0, nat = 10, ntyp = 4
/
ATOMIC_SPECIES
Mo 95.94 Mo.upf
O 16.00 O.upf
Tl 204.38 Tl.upf
Sc 44.96 Sc.upf
CELL_PARAMETERS angstrom
5.583 0.000 0.000
0.000 6.546 0.000
0.000 -3.273 5.669
ATOMIC_POSITIONS crystal
Mo 0.000 0.000 0.000
O 0.776 0.133 0.265
O 0.224 0.867 0.133
O 0.224 0.265 0.133
O 0.776 0.133 0.867
O 0.224 0.867 0.735
O 0.776 0.735 0.867
Tl 0.931 0.333 0.667
Tl 0.069 0.667 0.333
Sc 0.500 0.000 0.000
```